# Mg2W

A geometry-optimized Mg2W structure (PBE, Alexandria).

Values from the calculation:
**Density of states at the Fermi level**: 1.82 states/eV/f.u.
**Relative energy among the computed polymorphs**: 67.8 meV/atom
**M_tot**: 0.00 μB/f.u.

a b c (Å): 11.172 2.797 7.288
angles (deg): 90.00 104.60 90.00
Space group Cm (No. 8)
Asymmetric unit:
Mg  0.000  0.000  0.000 [2 per cell]
Mg  0.056  0.000  0.623 [2 per cell]
Mg  0.233  0.500  0.959 [2 per cell]
Mg  0.396  0.000  0.301 [2 per cell]
W  0.173  0.500  0.344 [2 per cell]
W  0.321  0.000  0.656 [2 per cell]

---

# Mg2W

A geometry-optimized Mg2W structure (PBE, Alexandria).

Values from the calculation:
**Density of states at the Fermi level**: 1.57 states/eV/f.u.
**Relative energy among the computed polymorphs**: 46.3 meV/atom
**M_tot**: 0.00 μB/f.u.

a b c (Å): 2.795 2.795 29.185
angles (deg): 90.00 90.00 90.00
Space group I4_1/amd (No. 141, origin choice 2)
Asymmetric unit:
Mg  0.000  0.250  0.299 [8 per cell]
W  0.000  0.250  0.875 [4 per cell]

---

# MgW3

A geometry-optimized MgW3 structure (PBE, Alexandria).

Values from the calculation:
**Density of states at the Fermi level**: 2.41 states/eV/f.u.
**Relative energy among the computed polymorphs**: 282.8 meV/atom
**M_tot**: 0.00 μB/f.u.

a b c (Å): 2.669 9.495 5.258
angles (deg): 90.00 90.00 90.00
Space group Imm2 (No. 44)
Asymmetric unit:
Mg  0.000  0.000  0.000 [2 per cell]
W  0.000  0.250  0.706 [4 per cell]
W  0.000  0.500  0.992 [2 per cell]

---

# MgW2

A geometry-optimized MgW2 structure (PBE, Alexandria).

Values from the calculation:
**Density of states at the Fermi level**: 2.41 states/eV/f.u.
**Relative energy among the computed polymorphs**: 190.9 meV/atom
**M_tot**: 0.00 μB/f.u.

a b c (Å): 2.673 16.137 4.782
angles (deg): 90.00 90.00 90.00
Space group Cmcm (No. 63)
Asymmetric unit:
Mg  0.000  0.216  0.250 [4 per cell]
W  0.000  0.110  0.750 [4 per cell]
W  0.000  0.451  0.750 [4 per cell]

---

# Mg4W3

A geometry-optimized Mg4W3 structure (PBE, Alexandria).

Values from the calculation:
**Density of states at the Fermi level**: 3.48 states/eV/f.u.
**Relative energy among the computed polymorphs**: 0.0 meV/atom
**M_tot**: 0.00 μB/f.u.

a b c (Å): 5.3253 5.3253 5.3895
angles (deg): 90.00 90.00 120.00
Space group P6/mmm (No. 191)
Asymmetric unit:
Mg  0.0000  0.0000  0.2441 [2 per cell]
Mg  0.3333  0.6667  0.5000 [2 per cell]
W  0.0000  0.5000  0.0000 [3 per cell]

---

# MgW2

A geometry-optimized MgW2 structure (PBE, Alexandria).

Values from the calculation:
**Density of states at the Fermi level**: 0.82 states/eV/f.u.
**Relative energy among the computed polymorphs**: 0.0 meV/atom
**M_tot**: 0.00 μB/f.u.

a b c (Å): 4.5855 4.5855 2.7303
angles (deg): 90.00 90.00 120.00
Space group P-3m1 (No. 164)
Asymmetric unit:
Mg  0.0000  0.0000  0.0000 [1 per cell]
W  0.3333  0.6667  0.3665 [2 per cell]

---

Number 1: calculated formation energy 411 meV/atom. Number 2: calculated formation energy 390 meV/atom. Number 3: calculated formation energy 513 meV/atom. Number 4: calculated formation energy 470 meV/atom. Number 5: calculated formation energy 420 meV/atom. Number 6: calculated formation energy 279 meV/atom.